No. 1
{"formula": "HoLuGePd", "functional": "PBE-GGA", "state": "relaxed", "formation_enthalpy_0k_ev_per_atom": -0.822, "total_magnetization_mub_per_cell": 0.0, "cell": [[0.0000, 3.5007, 3.5007], [3.5007, 0.0000, 3.5007], [3.5007, 3.5007, 0.0000]], "species": ["Ho", "Lu", "Ge", "Pd"], "frac_coords": [[0.0000, 0.0000, 0.0000], [0.5000, 0.5000, 0.5000], [0.2500, 0.2500, 0.2500], [0.7500, 0.7500, 0.7500]]}


No. 2
{"formula": "SrPmBi", "functional": "PBE-GGA", "state": "relaxed", "de_polymorph_mev_per_atom": 0, "formation_enthalpy_0k_ev_per_atom": -0.481, "total_magnetization_mub_per_cell": 1.8, "cell": [[2.9290, -5.0651, 0.0000], [2.9290, 5.0651, 0.0000], [0.0000, 0.0000, 6.8756]], "species": ["Sr", "Sr", "Pm", "Pm", "Bi", "Bi"], "frac_coords": [[0.1664, 0.8336, 0.7500], [0.8336, 0.1664, 0.2500], [0.5000, 0.5000, 0.0000], [0.5000, 0.5000, 0.5000], [0.1670, 0.8330, 0.2500], [0.8330, 0.1670, 0.7500]]}